Computed, not measured: a relaxed Nd3FeGe2 crystal at the PBE-GGA level of DFT.

a b c (Å): 7.468 7.468 4.074
angles (deg): 90.00 90.00 120.00
Last column: magnetic moment on the atom in μB.
Atoms (fractional coordinates):
Ge: 0.333 0.667 0.500  0.01
Ge: 0.667 0.333 0.500  0.01
Nd: 0.500 0.500 0.000  -0.01
Nd: 0.500 0.000 0.000  -0.01
Nd: 0.000 0.500 0.000  -0.01
Fe: 0.000 0.000 0.500  0.99

The total moment is 0.63 μB/f.u. As for the total energy: -29.36 eV for the cell shown. Its space group is P6/mmm, No. 191.

Computed, not measured: a relaxed Nd2FeGe4Pd crystal at the PBE-GGA level of DFT.

a b c (Å): 4.349 8.746 8.746
angles (deg): 28.52 90.00 90.00
Last column: magnetic moment on the atom in μB.
Atoms (fractional coordinates):
Ge: 0.000 0.547 0.547  -0.01
Ge: 0.500 0.741 0.741  -0.02
Ge: 0.000 0.243 0.243  -0.02
Ge: 0.500 0.465 0.465  0.00
Pd: 0.500 0.321 0.321  0.00
Nd: 0.500 0.106 0.106  -0.02
Nd: 0.000 0.894 0.894  0.02
Fe: 0.000 0.683 0.683  0.84

The total moment is 0.84 μB/f.u. As for the total energy: -46.73 eV for the cell shown. Its space group is Amm2, No. 38.

Computed, not measured: a relaxed PrNdFe2Ge4 crystal at the PBE-GGA level of DFT.

a b c (Å): 4.420 4.265 8.273
angles (deg): 90.00 104.39 90.00
Atoms (fractional coordinates):
Ge: 0.568 0.000 0.101
Ge: 0.432 0.500 0.899
Ge: 0.185 0.000 0.500
Ge: 0.815 0.500 0.500
Pr: 0.876 0.000 0.790
Nd: 0.124 0.500 0.210
Fe: 0.382 0.500 0.610
Fe: 0.618 0.000 0.390

The total moment is 0.01 μB/f.u. As for the total energy: -49.01 eV for the cell shown. Its space group is Pm, No. 6.